DFT (GGA-PBE) results for a relaxed PmCuAu2O8 crystal.

CIF file:
```
data_PmCuAu2O8
_chemical_formula_sum 'Pm2 Cu2 Au4 O16'
_symmetry_space_group_name_H-M 'I -4 m 2'
_symmetry_Int_Tables_number 119
_symmetry_space_group_name_Hall 'I -4 -2'
_cell_length_a 7.0409
_cell_length_b 7.0409
_cell_length_c 6.9055
_cell_angle_alpha 90.00
_cell_angle_beta 90.00
_cell_angle_gamma 90.00
loop_
_atom_site_label
_atom_site_type_symbol
_atom_site_fract_x
_atom_site_fract_y
_atom_site_fract_z
Pm1 Pm 0.0000 0.0000 0.0000
Cu1 Cu 0.0000 0.5000 0.7500
Au1 Au 0.0000 0.0000 0.5000
Au2 Au 0.0000 0.5000 0.2500
O1 O 0.0000 0.1907 0.7130
O2 O 0.0000 0.3335 0.0245
```

E_form (uncorrected) = -0.25 eV per atom
total magnetic moment = 2.0 μB per formula unit
raw total energy = -4.841 eV per atom

=====

DFT (GGA-PBE) results for a relaxed NdDyPbO2 crystal.

CIF file:
```
data_NdDyPbO2
_chemical_formula_sum 'Nd2 Dy2 Pb2 O4'
_symmetry_space_group_name_H-M 'I 4 m m'
_symmetry_Int_Tables_number 107
_symmetry_space_group_name_Hall 'I 4 -2'
_cell_length_a 3.9159
_cell_length_b 3.9159
_cell_length_c 14.4106
_cell_angle_alpha 90.00
_cell_angle_beta 90.00
_cell_angle_gamma 90.00
loop_
_atom_site_label
_atom_site_type_symbol
_atom_site_fract_x
_atom_site_fract_y
_atom_site_fract_z
Nd1 Nd 0.0000 0.0000 0.0000
Dy1 Dy 0.0000 0.0000 0.3388
Pb1 Pb 0.0000 0.0000 0.6702
O1 O 0.0000 0.5000 0.4132
```

E_form (uncorrected) = -2.49 eV per atom
total magnetic moment = 0.0 μB per formula unit
raw total energy = -7.090 eV per atom

=====

DFT (GGA-PBE) results for a relaxed BAuN2F crystal.

CIF file:
```
data_BAuN2F
_chemical_formula_sum 'B1 Au1 N2 F1'
_symmetry_space_group_name_H-M 'P 4/m m m'
_symmetry_Int_Tables_number 123
_symmetry_space_group_name_Hall '-P 4 2'
_cell_length_a 3.5829
_cell_length_b 3.5829
_cell_length_c 3.2977
_cell_angle_alpha 90.00
_cell_angle_beta 90.00
_cell_angle_gamma 90.00
loop_
_atom_site_label
_atom_site_type_symbol
_atom_site_fract_x
_atom_site_fract_y
_atom_site_fract_z
B1 B 0.0000 0.0000 0.0000
Au1 Au 0.5000 0.5000 0.5000
N1 N 0.0000 0.5000 0.0000
F1 F 0.0000 0.0000 0.5000
```

offset from the most stable computed form = 0.0000 eV per atom
E_form (uncorrected) = 0.97 eV per atom
total magnetic moment = 0.0 μB per formula unit
raw total energy = -4.728 eV per atom

=====

DFT (GGA-PBE) results for a relaxed La2Pr2Ag crystal.

CIF file:
```
data_La2Pr2Ag
_chemical_formula_sum 'La4 Pr4 Ag2'
_symmetry_space_group_name_H-M 'I 4/m m m'
_symmetry_Int_Tables_number 139
_symmetry_space_group_name_Hall '-I 4 2'
_cell_length_a 3.7733
_cell_length_b 3.7733
_cell_length_c 23.3813
_cell_angle_alpha 90.00
_cell_angle_beta 90.00
_cell_angle_gamma 90.00
loop_
_atom_site_label
_atom_site_type_symbol
_atom_site_fract_x
_atom_site_fract_y
_atom_site_fract_z
La1 La 0.0000 0.0000 0.0835
Pr1 Pr 0.0000 0.0000 0.3038
Ag1 Ag 0.0000 0.0000 0.5000
```

offset from the most stable computed form = 0.0000 eV per atom
total magnetic moment = 0.0 μB per formula unit
raw total energy = -4.541 eV per atom

=====

DFT (GGA-PBE) results for a relaxed Cs2RbLi crystal.

CIF file:
```
data_Cs2RbLi
_chemical_formula_sum 'Cs8 Rb4 Li4'
_symmetry_space_group_name_H-M 'I -4 2 d'
_symmetry_Int_Tables_number 122
_symmetry_space_group_name_Hall 'I -4 2bw'
_cell_length_a 6.5601
_cell_length_b 6.5601
_cell_length_c 31.9141
_cell_angle_alpha 90.00
_cell_angle_beta 90.00
_cell_angle_gamma 90.00
loop_
_atom_site_label
_atom_site_type_symbol
_atom_site_fract_x
_atom_site_fract_y
_atom_site_fract_z
Cs1 Cs 0.2315 0.2500 0.1250
Rb1 Rb 0.0000 0.0000 0.5000
Li1 Li 0.0000 0.0000 0.0000
```

offset from the most stable computed form = 0.1113 eV per atom
total magnetic moment = 0.0 μB per formula unit
raw total energy = -0.927 eV per atom

=====

DFT (GGA-PBE) results for a relaxed ZrTa2Cl crystal.

CIF file:
```
data_ZrTa2Cl
_chemical_formula_sum 'Zr1 Ta2 Cl1'
_symmetry_space_group_name_H-M 'P 4 m m'
_symmetry_Int_Tables_number 99
_cell_length_a 2.9457
_cell_length_b 2.9457
_cell_length_c 8.6605
_cell_angle_alpha 90.00
_cell_angle_beta 90.00
_cell_angle_gamma 90.00
loop_
_symmetry_equiv_pos_as_xyz
'x,y,z'
'-y,x,z'
'-x,-y,z'
'y,-x,z'
'-x,y,z'
'y,x,z'
'x,-y,z'
'-y,-x,z'
loop_
_atom_site_label
_atom_site_type_symbol
_atom_site_fract_x
_atom_site_fract_y
_atom_site_fract_z
Zr1 Zr 0.0000 0.0000 0.0000
Ta1 Ta 0.0000 0.0000 0.4749
Ta2 Ta 0.5000 0.5000 0.7328
Cl1 Cl 0.5000 0.5000 0.2538
```

offset from the most stable computed form = 0.2912 eV per atom
E_form (uncorrected) = 0.09 eV per atom
total magnetic moment = 0.0 μB per formula unit
raw total energy = -8.433 eV per atom

=====

DFT (GGA-PBE) results for a relaxed Ca2Ag2Au crystal.

CIF file:
```
data_Ca2Ag2Au
_chemical_formula_sum 'Ca4 Ag4 Au2'
_symmetry_space_group_name_H-M 'P 4/m b m'
_symmetry_Int_Tables_number 127
_symmetry_space_group_name_Hall '-P 4 2ab'
_cell_length_a 7.6366
_cell_length_b 7.6366
_cell_length_c 4.1750
_cell_angle_alpha 90.00
_cell_angle_beta 90.00
_cell_angle_gamma 90.00
loop_
_atom_site_label
_atom_site_type_symbol
_atom_site_fract_x
_atom_site_fract_y
_atom_site_fract_z
Ca1 Ca 0.1762 0.3238 0.0000
Ag1 Ag 0.1284 0.6284 0.5000
Au1 Au 0.0000 0.0000 0.5000
```

offset from the most stable computed form = 0.0560 eV per atom
total magnetic moment = 0.0 μB per formula unit
raw total energy = -2.993 eV per atom

=====

DFT (GGA-PBE) results for a relaxed AlTl2Hg crystal.

CIF file:
```
data_AlTl2Hg
_chemical_formula_sum 'Al3 Tl6 Hg3'
_symmetry_space_group_name_H-M 'R 3 m'
_symmetry_Int_Tables_number 160
_symmetry_space_group_name_Hall 'R 3 -2"'
_cell_length_a 4.9242
_cell_length_b 4.9242
_cell_length_c 16.7171
_cell_angle_alpha 90.00
_cell_angle_beta 90.00
_cell_angle_gamma 120.00
loop_
_atom_site_label
_atom_site_type_symbol
_atom_site_fract_x
_atom_site_fract_y
_atom_site_fract_z
Al1 Al 0.0000 0.0000 0.0000
Tl1 Tl 0.0000 0.0000 0.4054
Tl2 Tl 0.0000 0.0000 0.6126
Hg1 Hg 0.0000 0.0000 0.8315
```

offset from the most stable computed form = 0.0776 eV per atom
total magnetic moment = 0.0 μB per formula unit
raw total energy = -2.001 eV per atom

=====

DFT (GGA-PBE) results for a relaxed Pr5Ga4Pd crystal.

CIF file:
```
data_Pr5Ga4Pd
_chemical_formula_sum 'Pr5 Ga4 Pd1'
_symmetry_space_group_name_H-M 'P 4/m m m'
_symmetry_Int_Tables_number 123
_symmetry_space_group_name_Hall '-P 4 2'
_cell_length_a 3.7077
_cell_length_b 3.7077
_cell_length_c 18.5825
_cell_angle_alpha 90.00
_cell_angle_beta 90.00
_cell_angle_gamma 90.00
loop_
_atom_site_label
_atom_site_type_symbol
_atom_site_fract_x
_atom_site_fract_y
_atom_site_fract_z
Pr1 Pr 0.0000 0.0000 0.0000
Pr2 Pr 0.0000 0.0000 0.2016
Pr3 Pr 0.0000 0.0000 0.4037
Ga1 Ga 0.5000 0.5000 0.1004
Ga2 Ga 0.5000 0.5000 0.3021
Pd1 Pd 0.5000 0.5000 0.5000
```

total magnetic moment = 0.0 μB per formula unit
raw total energy = -4.693 eV per atom

=====

DFT (GGA-PBE) results for a relaxed PmNdSb crystal.

CIF file:
```
data_PmNdSb
_chemical_formula_sum 'Pm4 Nd4 Sb4'
_symmetry_space_group_name_H-M 'F -4 3 m'
_symmetry_Int_Tables_number 216
_symmetry_space_group_name_Hall 'F -4 2 3'
_cell_length_a 7.3929
_cell_length_b 7.3929
_cell_length_c 7.3929
_cell_angle_alpha 90.00
_cell_angle_beta 90.00
_cell_angle_gamma 90.00
loop_
_atom_site_label
_atom_site_type_symbol
_atom_site_fract_x
_atom_site_fract_y
_atom_site_fract_z
Pm1 Pm 0.0000 0.0000 0.0000
Nd1 Nd 0.0000 0.0000 0.5000
Sb1 Sb 0.2500 0.2500 0.7500
```

offset from the most stable computed form = 0.2012 eV per atom
E_form (uncorrected) = -0.65 eV per atom
total magnetic moment = 0.0 μB per formula unit
raw total energy = -5.197 eV per atom

=====

DFT (GGA-PBE) results for a relaxed K2OsCl4F2 crystal.

CIF file:
```
data_K2OsCl4F2
_chemical_formula_sum 'K4 Os2 Cl8 F4'
_symmetry_space_group_name_H-M 'C 1 2/m 1'
_symmetry_Int_Tables_number 12
_cell_length_a 11.0253
_cell_length_b 7.1852
_cell_length_c 6.0987
_cell_angle_alpha 90.00
_cell_angle_beta 110.05
_cell_angle_gamma 90.00
loop_
_symmetry_equiv_pos_as_xyz
'x,y,z'
'-x,-y,-z'
'-x,y,-z'
'x,-y,z'
'x+1/2,y+1/2,z'
'-x+1/2,-y+1/2,-z'
'-x+1/2,y+1/2,-z'
'x+1/2,-y+1/2,z'
loop_
_atom_site_label
_atom_site_type_symbol
_atom_site_fract_x
_atom_site_fract_y
_atom_site_fract_z
K1 K 0.1897 0.0000 0.2747
Os1 Os 0.0000 0.5000 0.0000
Cl1 Cl 0.0781 0.2642 0.8140
F1 F 0.1622 0.5000 0.2630
```

E_form (uncorrected) = -1.52 eV per atom
total magnetic moment = 2.0 μB per formula unit
raw total energy = -4.245 eV per atom

=====

DFT (GGA-PBE) results for a relaxed ZnAg2Sb crystal.

CIF file:
```
data_ZnAg2Sb
_chemical_formula_sum 'Zn2 Ag4 Sb2'
_symmetry_space_group_name_H-M 'I 4/m m m'
_symmetry_Int_Tables_number 139
_symmetry_space_group_name_Hall '-I 4 2'
_cell_length_a 4.1959
_cell_length_b 4.1959
_cell_length_c 8.8531
_cell_angle_alpha 90.00
_cell_angle_beta 90.00
_cell_angle_gamma 90.00
loop_
_atom_site_label
_atom_site_type_symbol
_atom_site_fract_x
_atom_site_fract_y
_atom_site_fract_z
Zn1 Zn 0.0000 0.0000 0.0000
Ag1 Ag 0.0000 0.5000 0.2500
Sb1 Sb 0.0000 0.0000 0.5000
```

offset from the most stable computed form = 0.0230 eV per atom
E_form (uncorrected) = 0.09 eV per atom
total magnetic moment = 0.0 μB per formula unit
raw total energy = -2.681 eV per atom

=====

Copy entry 2 word for word.
DFT (GGA-PBE) results for a relaxed NdDyPbO2 crystal.

CIF file:
```
data_NdDyPbO2
_chemical_formula_sum 'Nd2 Dy2 Pb2 O4'
_symmetry_space_group_name_H-M 'I 4 m m'
_symmetry_Int_Tables_number 107
_symmetry_space_group_name_Hall 'I 4 -2'
_cell_length_a 3.9159
_cell_length_b 3.9159
_cell_length_c 14.4106
_cell_angle_alpha 90.00
_cell_angle_beta 90.00
_cell_angle_gamma 90.00
loop_
_atom_site_label
_atom_site_type_symbol
_atom_site_fract_x
_atom_site_fract_y
_atom_site_fract_z
Nd1 Nd 0.0000 0.0000 0.0000
Dy1 Dy 0.0000 0.0000 0.3388
Pb1 Pb 0.0000 0.0000 0.6702
O1 O 0.0000 0.5000 0.4132
```

E_form (uncorrected) = -2.49 eV per atom
total magnetic moment = 0.0 μB per formula unit
raw total energy = -7.090 eV per atom

=====

> total magnetic moment of number 12 (ZnAg2Sb)?

0.0 μB per formula unit